# 1
Density functional theory data (PBE) for a relaxed PmThCI crystal.

Cell: 3.8349 3.8398 8.1501 Å, 89.99 103.59 120.05°
Last column: nearest neighbours and their distance in Å.
Fractional positions:
C1 0.3069 0.5514 0.8738  3 Th 2.56, 3 Pm 2.65
Th1 0.0821 0.9393 0.0366  3 C 2.56
I1 0.9717 0.3837 0.3703  3 Pm 3.34, 3 Th 3.43
Pm1 0.5172 0.1565 0.6890  3 C 2.65

Computed properties:
Its total energy is -6.42 eV per atom. The value obtained for the density of states at the Fermi level is 1.2 states/eV/cell. As for the magnetization: 0.0 μB/cell. As for the space group: R3m (160). The value obtained for the raw formation energy is -0.687 eV/atom.

=====

# 2
Density functional theory data (PBE) for a relaxed Pm2YC2I2 crystal.

Cell: 4.5024 4.5024 10.4151 Å, 102.48 102.48 90.00°
Last column: nearest neighbours and their distance in Å.
Fractional positions:
Pm1 0.5785 0.5785 0.1569  4 C 2.74
Pm2 0.4215 0.4215 0.8431  4 C 2.74
C1 0.5000 0.0000 0.0000  2 Y 2.25
C2 0.0000 0.5000 0.0000  2 Y 2.25
I1 0.1634 0.1634 0.3269  1 Y 3.24, 4 Pm 3.60
I2 0.8366 0.8366 0.6731  1 Y 3.24, 4 Pm 3.60
Y1 0.0000 0.0000 0.0000  4 C 2.25

Computed properties:
Its total energy is -5.83 eV per atom. The value obtained for the density of states at the Fermi level is 1.8 states/eV/cell. As for the magnetization: 0.0 μB/cell. As for the space group: I4/mmm (139). The value obtained for the raw formation energy is -0.472 eV/atom.

=====

# 3
Density functional theory data (PBE) for a relaxed Pr12C6I17 crystal.

Cell: 12.0801 12.0801 19.5280 Å, 88.64 88.64 63.57°
Last column: nearest neighbours and their distance in Å.
Fractional positions:
Pr1 0.3594 0.3604 0.5524  1 C 2.33
Pr2 0.9215 0.9810 0.8486  1 C 2.35
Pr3 0.5323 0.5495 0.6275  1 C 2.39
Pr4 0.8949 0.4259 0.6153  2 C 2.56-2.59
Pr5 0.0785 0.0190 0.1514  1 C 2.35
Pr6 0.9810 0.9215 0.3486  1 C 2.35
Pr7 0.7108 0.2969 0.5211  4 C 2.69-2.90
Pr8 0.7031 0.2892 0.9789  4 C 2.69-2.90
Pr9 0.1051 0.5741 0.3847  2 C 2.56-2.59
Pr10 0.6607 0.1942 0.7119  4 C 2.71-2.88
Pr11 0.3604 0.3594 0.0524  1 C 2.33
Pr12 0.4505 0.4677 0.8725  1 C 2.39
Pr13 0.6396 0.6406 0.9476  1 C 2.33
Pr14 0.8058 0.3393 0.7881  4 C 2.71-2.88
Pr15 0.0190 0.0785 0.6514  1 C 2.35
Pr16 0.4259 0.8949 0.1153  2 C 2.56-2.59
Pr17 0.4677 0.4505 0.3725  1 C 2.39
Pr18 0.6406 0.6396 0.4476  1 C 2.33
Pr19 0.2969 0.7108 0.0211  4 C 2.69-2.90
Pr20 0.5741 0.1051 0.8847  2 C 2.56-2.59
Pr21 0.5495 0.5323 0.1275  1 C 2.39
Pr22 0.1942 0.6607 0.2119  4 C 2.71-2.88
Pr23 0.2892 0.7031 0.4789  4 C 2.69-2.90
Pr24 0.3393 0.8058 0.2881  4 C 2.71-2.88
I1 0.2158 0.1771 0.1003  3 Pr 3.17-3.47
I2 0.0902 0.1125 0.8020  3 Pr 3.17-3.32
I3 0.6028 0.0957 0.0498  3 Pr 3.23-3.34
I4 0.3972 0.9043 0.9502  3 Pr 3.23-3.34
I5 0.1926 0.7192 0.8638  3 Pr 3.25-3.41
I6 0.7192 0.1926 0.3638  3 Pr 3.25-3.41
I7 0.9098 0.8875 0.1980  3 Pr 3.17-3.32
I8 0.8229 0.7842 0.3997  3 Pr 3.17-3.47
I9 0.0403 0.4996 0.2482  2 Pr 3.06-3.29
I10 0.1067 0.6041 0.0625  3 Pr 3.18-3.31
I11 0.7098 0.6847 0.0973  3 Pr 3.18-3.25
I12 0.8875 0.9098 0.6980  3 Pr 3.17-3.32
I13 0.4269 0.3728 0.2093  4 Pr 3.21-3.45
I14 0.0000 0.0000 0.5000  2 Pr 3.17
I15 0.6847 0.7098 0.5973  3 Pr 3.18-3.25
I16 0.1771 0.2158 0.6003  3 Pr 3.17-3.47
I17 0.8074 0.2808 0.1362  3 Pr 3.25-3.41
I18 0.3959 0.8933 0.4375  3 Pr 3.18-3.31
I19 0.3728 0.4269 0.7093  4 Pr 3.21-3.45
I20 0.3153 0.2902 0.4027  3 Pr 3.18-3.25
I21 0.8933 0.3959 0.9375  3 Pr 3.18-3.31
I22 0.1125 0.0902 0.3020  3 Pr 3.17-3.32
I23 0.0957 0.6028 0.5498  3 Pr 3.23-3.34
I24 0.4996 0.0403 0.7482  2 Pr 3.06-3.29
I25 0.0000 0.0000 0.0000  2 Pr 3.17
I26 0.9043 0.3972 0.4502  3 Pr 3.23-3.34
I27 0.5004 0.9597 0.2518  2 Pr 3.06-3.29
I28 0.6041 0.1067 0.5625  3 Pr 3.18-3.31
I29 0.6272 0.5731 0.2907  4 Pr 3.21-3.45
I30 0.7842 0.8229 0.8997  3 Pr 3.17-3.47
I31 0.9597 0.5004 0.7518  2 Pr 3.06-3.29
I32 0.5731 0.6272 0.7907  4 Pr 3.21-3.45
I33 0.2808 0.8074 0.6362  3 Pr 3.25-3.41
I34 0.2902 0.3153 0.9027  3 Pr 3.18-3.25
C1 0.7188 0.3672 0.6496  1 C 1.40
C2 0.3672 0.7188 0.1496  1 C 1.40
C3 0.5326 0.5315 0.4879  1 C 1.39
C4 0.1703 0.7416 0.3473  1 C 1.40
C5 0.2812 0.6328 0.3504  1 C 1.40
C6 0.2584 0.8297 0.1527  1 C 1.40
C7 0.7416 0.1703 0.8473  1 C 1.40
C8 0.4685 0.4674 0.0121  1 C 1.39
C9 0.4674 0.4685 0.5121  1 C 1.39
C10 0.5315 0.5326 0.9879  1 C 1.39
C11 0.8297 0.2584 0.6527  1 C 1.40
C12 0.6328 0.2812 0.8504  1 C 1.40

Computed properties:
Its total energy is -5.11 eV per atom. The value obtained for the density of states at the Fermi level is 8.6 states/eV/cell. As for the magnetization: 1.4 μB/cell. As for the space group: C2/c (15). The value obtained for the raw formation energy is -1.134 eV/atom.

=====

# 4
Density functional theory data (PBE) for a relaxed PrCI crystal.

Cell: 4.5148 4.4562 9.0666 Å, 104.23 104.42 90.00°
Last column: nearest neighbours and their distance in Å.
Fractional positions:
I1 0.3240 0.8240 0.6480  5 Pr 3.37-3.64
I2 0.6760 0.1760 0.3520  5 Pr 3.37-3.64
C1 0.6425 0.5000 0.0000  1 C 1.29
C2 0.3575 0.5000 0.0000  1 C 1.29
Pr1 0.8903 0.3903 0.7806  2 C 2.47
Pr2 0.1097 0.6097 0.2194  2 C 2.47

Computed properties:
Its total energy is -5.63 eV per atom. The value obtained for the density of states at the Fermi level is 3.8 states/eV/cell. As for the magnetization: 0.0 μB/cell. As for the space group: Immm (71). The value obtained for the raw formation energy is -0.445 eV/atom.